Entry 1:
A plane-wave DFT calculation with PBE was carried out for a relaxed La3TbY7 crystal.

Computed properties:
**ΔH_f (0 K)**: 0.119 eV per atom
**Energy relative to the lowest polymorph listed for this composition**: 0 meV/atom
**M_tot**: 0.00 μB/cell
**DFT total energy**: -5.759 eV/atom
**DOS(E_F)**: 18.7 states/eV/f.u.

Cell lengths 6.601, 6.772, 8.734 Å; angles 99.80, 98.23, 95.17 degrees
Space group P-1 (No. 2)
Symmetry-distinct sites (fractional):
La1 0.000 0.000 0.000 x1
La2 0.195 0.562 0.164 x2
Tb1 0.500 0.000 0.500 x1
Y1 0.011 0.769 0.580 x2
Y2 0.282 0.277 0.788 x2
Y3 0.440 0.793 0.852 x2
Y4 0.500 0.500 0.500 x1

=====

Entry 2:
A plane-wave DFT calculation with PBE was carried out for a relaxed K4ZrHg crystal.

Computed properties:
**ΔH_f (0 K)**: 0.774 eV per atom
**M_tot**: 14.23 μB/cell
**DFT total energy**: -1.432 eV/atom
**DOS(E_F)**: 10.0 states/eV/f.u.

Cell lengths 10.420, 10.420, 10.420 Å; angles 90.00, 90.00, 90.00 degrees
Space group F-43m (No. 216)
Symmetry-distinct sites (fractional):
K1 0.125 0.125 0.125 x16
Zr1 0.250 0.250 0.750 x4
Hg1 0.000 0.000 0.500 x4

=====

Entry 3:
A plane-wave DFT calculation with PBE was carried out for a relaxed TaAg2As crystal.

Computed properties:
**ΔH_f (0 K)**: 0.092 eV per atom
**M_tot**: 0.00 μB/cell
**DFT total energy**: -5.459 eV/atom
**DOS(E_F)**: 1.7 states/eV/f.u.

Cell lengths 3.364, 3.556, 6.365 Å; angles 90.00, 105.10, 90.00 degrees
Space group Pm (No. 6)
Symmetry-distinct sites (fractional):
Ta1 0.000 0.000 0.000 x1
Ag1 0.253 0.000 0.514 x1
Ag2 0.644 0.500 0.293 x1
As1 0.423 0.500 0.846 x1

=====

Entry 4:
A plane-wave DFT calculation with PBE was carried out for a relaxed ZrZnTeCl2 crystal.

Computed properties:
**M_tot**: 1.93 μB/cell
**DFT total energy**: -3.573 eV/atom
**DOS(E_F)**: 4.7 states/eV/f.u.
**Raw formation energy**: -241 meV per atom

Cell lengths 4.616, 4.616, 6.044 Å; angles 90.00, 90.00, 90.00 degrees
Space group P4/mmm (No. 123)
Symmetry-distinct sites (fractional):
Zr1 0.000 0.000 0.000 x1
Zn1 0.500 0.500 0.500 x1
Te1 0.500 0.500 0.000 x1
Cl1 0.000 0.500 0.500 x2

=====

Entry 5:
A plane-wave DFT calculation with PBE was carried out for a relaxed Tb4SnTe2P crystal.

Computed properties:
**M_tot**: 0.00 μB/cell
**DFT total energy**: -5.568 eV/atom
**DOS(E_F)**: 1.8 states/eV/f.u.
**Raw formation energy**: -1290 meV per atom

Cell lengths 7.442, 4.274, 7.531 Å; angles 90.00, 109.02, 90.00 degrees
Space group P2/m (No. 10)
Symmetry-distinct sites (fractional):
Tb1 0.229 0.000 0.219 x2
Tb2 0.245 0.500 0.770 x2
Sn1 0.500 0.000 0.000 x1
Te1 0.000 0.000 0.500 x1
Te2 0.500 0.500 0.500 x1
P1 0.000 0.500 0.000 x1

=====

Entry 6:
A plane-wave DFT calculation with PBE was carried out for a relaxed Si2OsPd2 crystal.

Computed properties:
**M_tot**: 0.00 μB/cell
**DFT total energy**: -6.683 eV/atom
**DOS(E_F)**: 2.5 states/eV/f.u.
**Raw formation energy**: -191 meV per atom

Cell lengths 6.338, 6.338, 3.569 Å; angles 90.00, 90.00, 90.00 degrees
Space group P4/mbm (No. 127)
Symmetry-distinct sites (fractional):
Si1 0.142 0.358 0.000 x4
Os1 0.000 0.000 0.000 x2
Pd1 0.162 0.662 0.500 x4

=====

Entry 7:
A plane-wave DFT calculation with PBE was carried out for a relaxed Tl2HgAs crystal.

Computed properties:
**ΔH_f (0 K)**: 0.130 eV per atom
**Energy relative to the lowest polymorph listed for this composition**: 89 meV/atom
**M_tot**: 0.00 μB/cell
**DFT total energy**: -2.291 eV/atom
**DOS(E_F)**: 1.5 states/eV/f.u.

Cell lengths 4.607, 5.435, 8.725 Å; angles 90.00, 90.00, 90.00 degrees
Space group Cmm2 (No. 35)
Symmetry-distinct sites (fractional):
Tl1 0.000 0.000 0.000 x2
Tl2 0.000 0.500 0.313 x2
Hg1 0.000 0.500 0.749 x2
As1 0.000 0.000 0.543 x2

=====

Entry 8:
A plane-wave DFT calculation with PBE was carried out for a relaxed KLaCl2 crystal.

Computed properties:
**Energy relative to the lowest polymorph listed for this composition**: 156 meV/atom
**M_tot**: 2.59 μB/cell
**DFT total energy**: -3.941 eV/atom
**DOS(E_F)**: 1.8 states/eV/f.u.
**Raw formation energy**: -1512 meV per atom

Cell lengths 4.061, 4.012, 15.872 Å; angles 90.00, 90.00, 90.00 degrees
Space group Amm2 (No. 38)
Symmetry-distinct sites (fractional):
K1 0.000 0.000 0.000 x2
La1 0.500 0.000 0.246 x2
Cl1 0.000 0.000 0.793 x2
Cl2 0.500 0.000 0.605 x2

=====

Entry 9:
A plane-wave DFT calculation with PBE was carried out for a relaxed TiCSN2 crystal.

Computed properties:
**Energy relative to the lowest polymorph listed for this composition**: 0 meV/atom
**M_tot**: 0.00 μB/cell
**DFT total energy**: -6.163 eV/atom
**DOS(E_F)**: 2.6 states/eV/f.u.
**Raw formation energy**: 1417 meV per atom

Cell lengths 3.518, 3.518, 3.890 Å; angles 90.00, 90.00, 90.00 degrees
Space group P4/mmm (No. 123)
Symmetry-distinct sites (fractional):
Ti1 0.000 0.000 0.000 x1
C1 0.500 0.500 0.500 x1
S1 0.500 0.500 0.000 x1
N1 0.000 0.500 0.500 x2

=====

Entry 10:
A plane-wave DFT calculation with PBE was carried out for a relaxed Ag3Te crystal.

Computed properties:
**Energy relative to the lowest polymorph listed for this composition**: 36 meV/atom
**M_tot**: 0.00 μB/cell
**DFT total energy**: -2.860 eV/atom
**DOS(E_F)**: 1.0 states/eV/f.u.
**Raw formation energy**: 64 meV per atom

Cell lengths 8.224, 9.924, 4.651 Å; angles 90.00, 90.00, 90.00 degrees
Space group Cmcm (No. 63)
Symmetry-distinct sites (fractional):
Ag1 0.000 0.078 0.250 x4
Ag2 0.167 0.193 0.750 x8
Te1 0.000 0.365 0.250 x4

=====

Entry 11:
A plane-wave DFT calculation with PBE was carried out for a relaxed LaGa9Pd3 crystal.

Computed properties:
**ΔH_f (0 K)**: -0.464 eV per atom
**M_tot**: 0.00 μB/cell
**DFT total energy**: -4.137 eV/atom
**DOS(E_F)**: 3.6 states/eV/f.u.

Cell lengths 5.552, 12.847, 6.911 Å; angles 90.00, 111.46, 90.00 degrees
Space group C2/m (No. 12)
Symmetry-distinct sites (fractional):
La1 0.000 0.000 0.000 x2
Ga1 0.000 0.000 0.500 x2
Ga2 0.099 0.392 0.212 x8
Ga3 0.177 0.180 0.346 x8
Pd1 0.000 0.500 0.500 x2
Pd2 0.250 0.250 0.000 x4

=====

Entry 12:
A plane-wave DFT calculation with PBE was carried out for a relaxed VCu2Pt6 crystal.

Computed properties:
**ΔH_f (0 K)**: -0.145 eV per atom
**M_tot**: 0.00 μB/cell
**DFT total energy**: -6.095 eV/atom
**DOS(E_F)**: 7.9 states/eV/f.u.

Cell lengths 2.750, 7.311, 13.663 Å; angles 90.00, 90.00, 90.00 degrees
Space group Immm (No. 71)
Symmetry-distinct sites (fractional):
V1 0.000 0.000 0.000 x2
Cu1 0.000 0.000 0.332 x4
Pt1 0.000 0.190 0.165 x8
Pt2 0.000 0.194 0.500 x4